<i>
HfPa2Ge (PBE-GGA, relaxed); crystal system = tetragonal
1.0
3.860 0.000 0.000
0.000 3.860 0.000
0.000 0.000 6.314
Hf Pa Ge
1 2 1
Cartesian
0.000 0.000 0.000
1.930 1.930 1.800
1.930 1.930 4.514
0.000 0.000 3.157

***

<ii>
HfPa2Ge (PBE-GGA, relaxed); crystal system = cubic
1.0
0.000 3.591 3.591
3.591 0.000 3.591
3.591 3.591 0.000
Hf Pa Ge
1 2 1
Cartesian
0.000 0.000 0.000
1.795 1.795 1.795
5.386 5.386 5.386
3.591 3.591 3.591

***

<iii>
HfPa2Ge (PBE-GGA, relaxed); crystal system = tetragonal
1.0
4.274 0.000 0.000
0.000 4.274 0.000
0.000 0.000 4.758
Hf Pa Ge
1 2 1
Cartesian
0.000 0.000 0.000
0.000 2.137 2.379
2.137 0.000 2.379
2.137 2.137 0.000

***

<iii> is preferred energetically. Next in line: 0.145 eV/atom higher.

***

<i>
Hf2Ge2Pb (PBE-GGA, relaxed); crystal system = tetragonal
1.0
7.634 0.000 0.000
0.000 7.634 0.000
0.000 0.000 3.639
Hf Ge Pb
4 4 2
Cartesian
1.105 2.712 0.000
2.712 6.529 0.000
4.922 1.105 0.000
6.529 4.922 0.000
1.179 4.996 1.820
2.639 1.179 1.820
4.996 6.456 1.820
6.456 2.639 1.820
0.000 0.000 0.000
3.817 3.817 0.000

***

<ii>
Hf2Ge2Pb (PBE-GGA, relaxed); crystal system = tetragonal
1.0
7.648 0.000 0.000
0.000 7.648 0.000
0.000 0.000 3.619
Hf Ge Pb
4 4 2
Cartesian
1.148 2.676 0.000
2.676 6.500 0.000
4.972 1.148 0.000
6.500 4.972 0.000
1.069 4.893 1.809
2.755 1.069 1.809
4.893 6.579 1.809
6.579 2.755 1.809
0.000 0.000 1.809
3.824 3.824 1.809

***

<i> is preferred energetically. Next in line: 0.018 eV/atom higher.

***

<i>
HfGe3Pb (PBE-GGA, relaxed); crystal system = cubic
1.0
5.240 0.000 0.000
0.000 5.240 0.000
0.000 0.000 5.240
Hf Ge Pb
1 3 1
Cartesian
0.000 0.000 0.000
0.000 2.620 2.620
2.620 0.000 2.620
2.620 2.620 0.000
2.620 2.620 2.620

***

<ii>
HfGe3Pb (PBE-GGA, relaxed); crystal system = cubic
1.0
5.189 0.000 0.000
0.000 5.189 0.000
0.000 0.000 5.189
Hf Ge Pb
1 3 1
Cartesian
0.000 0.000 0.000
0.000 0.000 2.594
0.000 2.594 0.000
2.594 0.000 0.000
2.594 2.594 2.594

***

<ii> is preferred energetically. Next in line: 1.026 eV/atom higher.

***

<i>
HfGePd6 (PBE-GGA, relaxed); crystal system = monoclinic
1.0
3.862 -2.765 0.000
3.862 2.765 0.000
-2.782 0.000 6.673
Hf Ge Pd
1 1 6
Cartesian
0.000 0.000 0.000
2.471 0.000 3.336
1.883 1.419 1.371
0.004 0.000 2.977
3.059 1.419 5.302
1.883 -1.419 1.371
4.938 0.000 3.695
3.059 -1.419 5.302

***

<ii>
HfGePd6 (PBE-GGA, relaxed); crystal system = orthorhombic
1.0
3.914 -4.031 0.000
3.914 4.031 0.000
0.000 0.000 3.985
Hf Ge Pd
1 1 6
Cartesian
0.000 0.000 0.000
3.914 0.000 0.000
1.957 2.015 0.000
3.914 2.114 1.993
2.054 0.000 1.993
1.957 -2.015 0.000
5.774 0.000 1.993
3.914 -2.114 1.993

***

<ii> is preferred energetically. Next in line: 0.256 eV/atom higher.

***

<i>
PmHfGe (PBE-GGA, relaxed); crystal system = trigonal
1.0
4.639 0.000 0.000
-2.320 4.018 0.000
0.000 0.000 4.002
Pm Hf Ge
1 1 1
Cartesian
0.000 0.000 0.000
2.320 1.339 1.973
0.000 2.678 2.274

***

<ii>
PmHfGe (PBE-GGA, relaxed); crystal system = orthorhombic
1.0
2.404 -5.307 0.000
2.404 5.307 0.000
0.000 0.000 5.589
Pm Hf Ge
2 2 2
Cartesian
2.404 4.188 4.192
2.404 -4.188 1.397
2.404 0.980 4.192
2.404 -0.980 1.397
2.404 2.909 1.397
2.404 -2.909 4.192

***

<iii>
PmHfGe (PBE-GGA, relaxed); crystal system = tetragonal
1.0
-2.107 2.107 8.093
2.107 -2.107 8.093
2.107 2.107 -8.093
Pm Hf Ge
2 2 2
Cartesian
0.000 0.000 2.865
0.000 0.000 13.321
2.107 0.000 0.000
0.000 2.107 0.000
0.000 0.000 6.102
0.000 0.000 10.084

***

<iii> is preferred energetically. Next in line: 0.365 eV/atom higher.

***

<i>
Hf2Ge2Pt (PBE-GGA, relaxed); crystal system = tetragonal
1.0
7.831 0.000 0.000
0.000 7.831 0.000
0.000 0.000 3.109
Hf Ge Pt
4 4 2
Cartesian
1.129 2.787 0.000
2.787 6.702 0.000
5.044 1.129 0.000
6.702 5.044 0.000
1.228 5.143 1.555
2.688 1.228 1.555
5.143 6.603 1.555
6.603 2.688 1.555
0.000 0.000 0.000
3.915 3.915 0.000

***

<ii>
Hf2Ge2Pt (PBE-GGA, relaxed); crystal system = tetragonal
1.0
6.587 0.000 0.000
0.000 6.587 0.000
0.000 0.000 4.068
Hf Ge Pt
4 4 2
Cartesian
1.132 2.161 0.000
2.161 5.455 0.000
4.426 1.132 0.000
5.455 4.426 0.000
0.877 4.170 2.034
2.417 0.877 2.034
4.170 5.711 2.034
5.711 2.417 2.034
0.000 0.000 2.034
3.294 3.294 2.034

***

<ii> is preferred energetically. Next in line: 0.509 eV/atom higher.

***

<i>
PuHfGe2 (PBE-GGA, relaxed); crystal system = monoclinic
1.0
3.404 -1.969 0.000
3.404 1.969 0.000
-2.278 0.000 6.732
Pu Hf Ge
1 1 2
Cartesian
0.000 0.000 0.000
2.265 0.000 3.366
-0.006 0.000 4.915
4.536 0.000 1.817

***

<ii>
PuHfGe2 (PBE-GGA, relaxed); crystal system = tetragonal
1.0
4.492 0.000 0.000
0.000 4.492 0.000
0.000 0.000 3.991
Pu Hf Ge
1 1 2
Cartesian
0.000 0.000 0.000
2.246 2.246 0.000
0.000 2.246 1.995
2.246 0.000 1.995

***

<iii>
PuHfGe2 (PBE-GGA, relaxed); crystal system = tetragonal
1.0
3.616 0.000 0.000
0.000 3.616 0.000
0.000 0.000 6.225
Pu Hf Ge
1 1 2
Cartesian
0.000 0.000 0.000
0.000 0.000 3.113
1.808 1.808 1.777
1.808 1.808 4.448

***

<iv>
PuHfGe2 (PBE-GGA, relaxed); crystal system = trigonal
1.0
1.541 0.890 10.614
-1.541 0.890 10.614
0.000 -1.780 10.614
Pu Hf Ge
1 1 2
Cartesian
0.000 0.000 0.000
0.000 0.000 15.922
0.000 0.000 2.985
0.000 0.000 28.858

***

<iii> is preferred energetically. Next in line: 0.030 eV/atom higher.

***

<i>
PuHfGe (PBE-GGA, relaxed); crystal system = hexagonal
1.0
4.713 0.000 0.000
-2.356 4.081 0.000
0.000 0.000 3.522
Pu Hf Ge
1 1 1
Cartesian
0.000 0.000 0.000
0.000 2.721 1.761
2.356 1.360 1.761

***

<ii>
PuHfGe (PBE-GGA, relaxed); crystal system = trigonal
1.0
1.702 0.983 12.156
-1.702 0.983 12.156
0.000 -1.966 12.156
Pu Hf Ge
2 2 2
Cartesian
0.000 0.000 5.429
0.000 0.000 31.039
0.000 0.000 10.952
0.000 0.000 25.516
0.000 0.000 15.436
0.000 0.000 21.033

***

<ii> is preferred energetically. Next in line: 0.018 eV/atom higher.

***

<i>
RbHfGe2 (PBE-GGA, relaxed); crystal system = cubic
1.0
0.000 3.619 3.619
3.619 0.000 3.619
3.619 3.619 0.000
Rb Hf Ge
1 1 2
Cartesian
0.000 0.000 0.000
3.619 3.619 3.619
1.809 1.809 1.809
5.428 5.428 5.428

***

<ii>
RbHfGe2 (PBE-GGA, relaxed); crystal system = tetragonal
1.0
-3.001 3.001 8.564
3.001 -3.001 8.564
3.001 3.001 -8.564
Rb Hf Ge
2 2 4
Cartesian
0.000 0.000 0.000
0.000 3.001 4.282
3.001 0.000 4.282
0.000 0.000 8.564
1.501 -0.155 6.423
2.847 1.501 2.141
1.501 3.156 -2.141
0.155 1.501 10.705

***

<ii> is preferred energetically. Next in line: 0.252 eV/atom higher.

***

<i>
RbHf2TlGe (PBE-GGA, relaxed); crystal system = tetragonal
1.0
5.194 0.000 0.000
0.000 5.194 0.000
0.000 0.000 5.725
Rb Hf Tl Ge
1 2 1 1
Cartesian
0.000 0.000 0.000
0.000 2.597 0.000
2.597 0.000 0.000
0.000 0.000 2.862
2.597 2.597 2.862

***

<ii>
RbHf2TlGe (PBE-GGA, relaxed); crystal system = tetragonal
1.0
5.148 0.000 0.000
0.000 5.148 0.000
0.000 0.000 6.146
Rb Hf Tl Ge
1 2 1 1
Cartesian
0.000 0.000 0.000
0.000 2.574 3.073
2.574 0.000 3.073
2.574 2.574 0.000
0.000 0.000 3.073

***

<ii> is preferred energetically. Next in line: 1.562 eV/atom higher.

***

<i>
Hf3ReGe (PBE-GGA, relaxed); crystal system = cubic
1.0
5.017 0.000 0.000
0.000 5.017 0.000
0.000 0.000 5.017
Hf Re Ge
3 1 1
Cartesian
0.000 0.000 2.509
0.000 2.509 0.000
2.509 0.000 0.000
0.000 0.000 0.000
2.509 2.509 2.509

***

<ii>
Hf3ReGe (PBE-GGA, relaxed); crystal system = cubic
1.0
4.838 0.000 0.000
0.000 4.838 0.000
0.000 0.000 4.838
Hf Re Ge
3 1 1
Cartesian
0.000 0.000 2.419
0.000 2.419 0.000
2.419 0.000 0.000
2.419 2.419 2.419
0.000 0.000 0.000

***

<i> is preferred energetically. Next in line: 0.228 eV/atom higher.

***

<i>
HfRe3Ge (PBE-GGA, relaxed); crystal system = cubic
1.0
4.540 0.000 0.000
0.000 4.540 0.000
0.000 0.000 4.540
Hf Re Ge
1 3 1
Cartesian
0.000 0.000 0.000
0.000 2.270 2.270
2.270 0.000 2.270
2.270 2.270 0.000
2.270 2.270 2.270

***

<ii>
HfRe3Ge (PBE-GGA, relaxed); crystal system = cubic
1.0
4.832 0.000 0.000
0.000 4.832 0.000
0.000 0.000 4.832
Hf Re Ge
1 3 1
Cartesian
0.000 0.000 0.000
0.000 0.000 2.416
0.000 2.416 0.000
2.416 0.000 0.000
2.416 2.416 2.416

***

<i> is preferred energetically. Next in line: 1.399 eV/atom higher.